20
Lattice="9.025 -7.929 0.000 9.025 7.929 0.000 -2.068 0.000 7.588" Properties=species:S:1:pos:R:3 comment="BaSr3Ca (PBE, optimized geometry)" ef_mev_per_atom=50 polymorph_energy_ev_per_atom=0.000 dft_energy_ev_per_atom=-1.744 total_magnetization_mub_per_cell=0.00 pbc="T T T"
Ba 0.910 1.173 3.463
Ba -0.124 -1.173 7.257
Ba 16.105 1.173 0.331
Ba 15.071 -1.173 4.124
Sr 7.152 4.881 0.286
Sr 4.801 2.889 2.742
Sr 3.768 1.150 6.528
Sr 9.864 4.881 3.508
Sr 4.802 -1.150 2.734
Sr 3.767 -2.889 6.535
Sr 12.214 2.889 1.052
Sr 11.180 1.150 4.854
Sr 6.118 -4.881 4.080
Sr 12.214 -1.150 1.060
Sr 11.180 -2.889 4.846
Sr 8.830 -4.881 7.302
Ca 7.474 2.704 5.691
Ca 8.508 1.158 1.897
Ca 7.474 -1.158 5.691
Ca 8.508 -2.704 1.897